(1)
Pm8Si3IrBr4 (GGA-PBE, relaxed); space-group type = R-3m, No. 166; E_form (uncorrected) = -101 kJ/mol of atoms; energy = -5.41 eV/atom
1.0
-3.7835 7.5300 -1.0270
-7.7278 -3.5869 2.1700
6.5311 -0.7715 5.3703
Pm Br Si Ir
8 4 3 1
Cartesian
0.2141 0.5402 3.1726
-1.9006 2.3195 6.0023
-5.1942 2.6313 3.3407
-5.0212 4.7163 -0.0160
-3.3102 -1.1483 3.7755
0.0410 -1.5447 6.5293
-3.0796 0.8521 0.5110
-1.6699 4.3199 2.7378
3.2656 -0.3857 2.6852
1.3738 3.3792 2.1717
-1.8918 3.7650 -0.5135
0.0000 0.0000 0.0000
-0.5983 -2.1792 3.7702
-2.4901 1.5858 3.2567
-5.7556 1.9715 0.5715
-3.8639 -1.7935 1.0850

***

(2)
Pm5Tl2Zn (GGA-PBE, relaxed); space-group type = Pbam, No. 55; energy = -4.01 eV/atom; E_form = -0.286 eV per atom
1.0
5.1781 0.0000 0.0000
0.0000 6.8604 0.0000
0.0000 0.0000 13.2434
Pm Tl Zn
10 4 2
Cartesian
2.5890 1.1740 1.2798
2.5890 2.2562 7.9015
0.0000 4.2129 9.5482
2.5890 5.6864 11.9636
0.0000 2.6476 3.6952
2.5890 4.6042 5.3419
0.0000 3.4302 0.0000
0.0000 0.7827 10.3169
0.0000 0.0000 6.6217
0.0000 6.0778 2.9265
2.5890 4.3745 1.9628
2.5890 2.4859 11.2806
2.5890 0.9443 4.6589
2.5890 5.9161 8.5846
0.0000 3.4302 6.6217
0.0000 0.0000 0.0000